(1)
A relaxed structure of BaBi5. Source: Alexandria, functional PBE-GGA.

Cell: 5.134 7.296 11.408 Å, 90.00 90.00 90.00°
Space group Immm (No. 71)
Inequivalent atoms, fractional coordinates:
Ba 0.000 0.000 0.000 [2 per cell]
Bi 0.000 0.214 0.335 [8 per cell]
Bi 0.000 0.500 0.000 [2 per cell]

DFT formation energy ... -0.290 eV per atom
Total energy ... -3.84 eV/atom



(2)
A relaxed structure of Ho8Bi2Ir. Source: Alexandria, functional PBE-GGA.

Cell: 19.137 4.642 7.273 Å, 90.00 96.91 90.00°
Space group C2/m (No. 12)
Inequivalent atoms, fractional coordinates:
Ho 0.001 0.000 0.226 [4 per cell]
Ho 0.095 0.500 0.516 [4 per cell]
Ho 0.139 0.500 0.045 [4 per cell]
Ho 0.214 0.000 0.351 [4 per cell]
Bi 0.183 0.000 0.783 [4 per cell]
Ir 0.000 0.500 0.000 [2 per cell]

DFT formation energy ... -0.442 eV per atom
Total energy ... -5.28 eV/atom



(3)
A relaxed structure of Pm4CuOsBr2. Source: Alexandria, functional PBE-GGA.

Cell: 7.076 4.156 8.126 Å, 90.00 107.08 90.00°
Space group P2/m (No. 10)
Inequivalent atoms, fractional coordinates:
Pm 0.226 0.000 0.197 [2 per cell]
Pm 0.256 0.500 0.802 [2 per cell]
Cu 0.500 0.000 0.000 [1 per cell]
Os 0.000 0.500 0.000 [1 per cell]
Br 0.000 0.000 0.500 [1 per cell]
Br 0.500 0.500 0.500 [1 per cell]

Formation energy without anion corrections ... -0.71 eV/atom
Total energy ... -5.42 eV/atom



(4)
A relaxed structure of H4S. Source: Alexandria, functional PBE-GGA.

Cell: 3.264 3.264 3.264 Å, 90.00 90.00 90.00°
Space group Pm-3m (No. 221)
Inequivalent atoms, fractional coordinates:
H 0.000 0.000 0.000 [1 per cell]
H 0.000 0.500 0.500 [3 per cell]
S 0.500 0.500 0.500 [1 per cell]

Total energy ... -2.82 eV/atom



no.,DOS at the Fermi energy (states/eV/cell)
1,6.796
2,22.678
3,4.488
4,0.683